DFT (PBE-GGA) results for crystalline Tl2In3Hg at its relaxed geometry.

Structure (CIF):
```
data_Tl2In3Hg
_chemical_formula_sum 'Tl4 In6 Hg2'
_cell_length_a 11.128
_cell_length_b 5.506
_cell_length_c 6.695
_cell_angle_alpha 90.00
_cell_angle_beta 123.26
_cell_angle_gamma 90.00
_symmetry_space_group_name_H-M 'C 1 m 1'
_symmetry_Int_Tables_number 8
loop_
_symmetry_equiv_pos_as_xyz
'x,y,z'
'x,-y,z'
'x+1/2,y+1/2,z'
'x+1/2,-y+1/2,z'
loop_
_atom_site_label
_atom_site_type_symbol
_atom_site_fract_x
_atom_site_fract_y
_atom_site_fract_z
Tl1 Tl 0.000 0.000 0.000
Tl2 Tl 0.003 0.000 0.501
In1 In 0.169 0.500 0.418
In2 In 0.332 0.000 0.081
In3 In 0.339 0.000 0.589
Hg1 Hg 0.169 0.500 0.920
```

* density of states at the Fermi level: 0.38 states/eV/atom
* offset from the most stable computed form: 0.00 kJ/mol of atoms
* crystal system: monoclinic
* total moment: 0.00 μB/f.u.